[1]
First-principles (GGA-PBE) data for crystalline Dy2FeCoSi4 at its relaxed geometry, as listed in OQMD. Values from VASP.

```
&SYSTEM
  ibrav = 0, nat = 8, ntyp = 4
/
ATOMIC_SPECIES
Fe 55.84 Fe.upf
Si 28.09 Si.upf
Dy 162.50 Dy.upf
Co 58.93 Co.upf
ATOMIC_POSITIONS crystal
Fe 0.5000 0.3213 0.3213
Si 0.0000 0.5436 0.5436
Si 0.5000 0.7498 0.7498
Si 0.0000 0.2492 0.2492
Si 0.5000 0.4578 0.4578
Dy 0.0000 0.8921 0.8921
Dy 0.5000 0.1079 0.1079
Co 0.0000 0.6784 0.6784
CELL_PARAMETERS angstrom
-2.6574 -2.2738 1.8344
5.5706 -6.3314 0.2221
6.2400 -4.3457 3.6532
```


[2]
First-principles (GGA-PBE) data for crystalline DyTm2Fe7Co2 at its relaxed geometry, as listed in OQMD. Values from VASP.

```
&SYSTEM
  ibrav = 0, nat = 12, ntyp = 4
/
ATOMIC_SPECIES
Fe 55.84 Fe.upf
Co 58.93 Co.upf
Tm 168.93 Tm.upf
Dy 162.50 Dy.upf
ATOMIC_POSITIONS crystal
Fe 0.5000 0.5000 0.5000
Fe 0.9177 0.4178 0.4178
Fe 0.5822 0.5822 0.0823
Fe 0.4178 0.4178 0.9177
Fe 0.5822 0.0823 0.5822
Fe 0.0823 0.5822 0.5822
Fe 0.4178 0.9177 0.4178
Co 0.3325 0.3325 0.3325
Co 0.6675 0.6675 0.6675
Tm 0.8578 0.8578 0.8578
Tm 0.1422 0.1422 0.1422
Dy 0.0000 0.0000 0.0000
CELL_PARAMETERS angstrom
5.8539 5.7700 2.4813
7.1008 4.3194 -2.1541
3.4706 7.7125 -1.4800
```

Summary:
ΔH_f (0 K) = -0.128 eV/atom


[3]
First-principles (GGA-PBE) data for crystalline DyTm2Fe2Co7 at its relaxed geometry, as listed in OQMD. Values from VASP.

```
&SYSTEM
  ibrav = 0, nat = 12, ntyp = 4
/
ATOMIC_SPECIES
Co 58.93 Co.upf
Tm 168.93 Tm.upf
Fe 55.84 Fe.upf
Dy 162.50 Dy.upf
ATOMIC_POSITIONS crystal
Co 0.0790 0.5844 0.5844
Co 0.5844 0.5844 0.0790
Co 0.9210 0.4156 0.4156
Co 0.4156 0.9210 0.4156
Co 0.5844 0.0790 0.5844
Co 0.4156 0.4156 0.9210
Co 0.5000 0.5000 0.5000
Tm 0.1410 0.1410 0.1410
Tm 0.8590 0.8590 0.8590
Fe 0.6656 0.6656 0.6656
Fe 0.3344 0.3344 0.3344
Dy 0.0000 0.0000 0.0000
CELL_PARAMETERS angstrom
2.5095 1.4489 7.8975
-2.5095 1.4489 7.8975
0.0000 -2.8977 7.8975
```

Summary:
ΔH_f (0 K) = -0.212 eV/atom


[4]
First-principles (GGA-PBE) data for crystalline DyY2Fe8Co at its relaxed geometry, as listed in OQMD. Values from VASP.

```
&SYSTEM
  ibrav = 0, nat = 12, ntyp = 4
/
ATOMIC_SPECIES
Co 58.93 Co.upf
Fe 55.84 Fe.upf
Y 88.91 Y.upf
Dy 162.50 Dy.upf
ATOMIC_POSITIONS crystal
Co 0.5000 0.5000 0.5000
Fe 0.6673 0.6673 0.6673
Fe 0.3327 0.3327 0.3327
Fe 0.5810 0.0820 0.5810
Fe 0.5810 0.5810 0.0820
Fe 0.9180 0.4190 0.4190
Fe 0.4190 0.4190 0.9180
Fe 0.0820 0.5810 0.5810
Fe 0.4190 0.9180 0.4190
Y 0.8581 0.8581 0.8581
Y 0.1419 0.1419 0.1419
Dy 0.0000 0.0000 0.0000
CELL_PARAMETERS angstrom
2.5337 1.4628 8.0775
-2.5337 1.4628 8.0775
0.0000 -2.9257 8.0775
```

Summary:
ΔH_f (0 K) = -0.092 eV/atom


Let's list DFT total energy in order: -6.49, -7.29, -6.87, -7.68 eV/atom.